An optimized crystal structure of ErMgInHg, computed with PBE.

Lattice parameters (Å, degrees): 5.1227 5.1227 5.1227 60.00 60.00 60.00
With the nearest neighbours (Å) after each atom.
Fractional positions:
Mg: 0.0000 0.0000 0.0000  4 In 3.14, 4 Hg 3.14
In: 0.7500 0.7500 0.7500  4 Er 3.14, 4 Mg 3.14
Hg: 0.2500 0.2500 0.2500  4 Er 3.14, 4 Mg 3.14
Er: 0.5000 0.5000 0.5000  4 Hg 3.14, 4 In 3.14

Properties
Formation energy from the elements in meV per atom: -371
Total DFT energy (no corrections) in eV for the cell shown: -10.7
SG: F-43m (216)
Mass density in g/cm3: 8.856